(1)
RhAu2F8 | the Alexandria database | PBE-GGA | optimized geometry; formation energy from raw total energies = -1.041 eV per atom; N(E_F) = 5.63 states/eV/f.u.
1.0
5.467 0.000 0.000
-0.005 5.813 0.000
-2.727 -0.106 5.502
Rh Au F
1 2 8
direct
0.000 0.000 0.000
0.244 0.460 0.488
0.756 0.540 0.512
0.073 0.314 0.146
0.129 0.096 0.776
0.353 0.903 0.224
0.396 0.630 0.792
0.604 0.370 0.208
0.647 0.097 0.776
0.871 0.904 0.224
0.927 0.686 0.854



(2)
RhAuF3 | the Alexandria database | PBE-GGA | optimized geometry; formation energy from raw total energies = -0.126 eV per atom; distance to the lowest polymorph of the same formula = 511 meV/atom; N(E_F) = 18.52 states/eV/f.u.
1.0
4.409 0.000 0.000
0.000 4.409 0.000
0.000 0.000 4.409
Rh Au F
1 1 3
direct
0.000 0.000 0.000
0.500 0.500 0.500
0.000 0.500 0.500
0.500 0.000 0.500
0.500 0.500 0.000



(3)
RhAu2SeF | the Alexandria database | PBE-GGA | optimized geometry; formation energy from raw total energies = 0.549 eV per atom; N(E_F) = 5.20 states/eV/f.u.
1.0
4.807 0.000 0.000
0.000 4.807 0.000
0.000 0.000 4.073
Rh Au Se F
1 2 1 1
direct
0.000 0.000 0.000
0.000 0.500 0.500
0.500 0.000 0.500
0.500 0.500 0.000
0.000 0.000 0.500



(4)
TeRhAu2F | the Alexandria database | PBE-GGA | optimized geometry; formation energy from raw total energies = 0.094 eV per atom; N(E_F) = 4.06 states/eV/f.u.
1.0
5.184 0.000 0.000
0.000 5.184 0.000
0.000 0.000 3.892
Te Rh Au F
1 1 2 1
direct
0.000 0.000 0.000
0.500 0.500 0.500
0.000 0.500 0.500
0.500 0.000 0.500
0.500 0.500 0.000



Look up the N(E_F) of the third one.
5.20 states/eV/f.u.



What did the third record say?
RhAu2SeF | the Alexandria database | PBE-GGA | optimized geometry; formation energy from raw total energies = 0.549 eV per atom; N(E_F) = 5.20 states/eV/f.u.
1.0
4.807 0.000 0.000
0.000 4.807 0.000
0.000 0.000 4.073
Rh Au Se F
1 2 1 1
direct
0.000 0.000 0.000
0.000 0.500 0.500
0.500 0.000 0.500
0.500 0.500 0.000
0.000 0.000 0.500



N(E_F) of number 2 (RhAuF3)?
18.52 states/eV/f.u.



What is the N(E_F) in the first record?
5.63 states/eV/f.u.